Nd3Ga2Au after structural relaxation. Source: Alexandria via LeMat-Bulk, functional PBE-GGA.

The calculation puts the formation energy at -0.608 eV per atom.

The structure belongs to space group P4/mmm (No. 123); the cell edges are 3.662, 3.662 and 11.388 Å and the angles 90.00°, 90.00° and 90.00°. The asymmetric unit holds Nd at (0.000, 0.000, 0.000), Nd at (0.000, 0.000, 0.331), Ga at (0.500, 0.500, 0.168) and Au at (0.500, 0.500, 0.500).